First-principles (PBE-GGA) data for crystalline Th2NbVN5 at its relaxed geometry, as listed in Alexandria.

Structure (POSCAR):
```
Th2NbVN5
1.0
1.7001 -6.7987 0.0000
1.7001 6.7987 0.0000
0.0000 0.0000 10.1602
Th Nb V N
4 2 2 10
Direct
0.1173 0.8827 0.5000
0.1399 0.8601 0.1210
0.8601 0.1399 0.6210
0.8827 0.1173 0.0000
0.1998 0.8002 0.8204
0.8002 0.1998 0.3204
0.4613 0.5387 0.2783
0.5387 0.4613 0.7783
0.0449 0.9551 0.8681
0.2903 0.7097 0.4721
0.3168 0.6832 0.1872
0.3622 0.6378 0.8187
0.4974 0.5026 0.6077
0.5026 0.4974 0.1077
0.6378 0.3622 0.3187
0.6832 0.3168 0.6872
0.7097 0.2903 0.9721
0.9551 0.0449 0.3681
```

## Properties
Formation energy without anion corrections: -1.31 eV per atom
Symmetry: Cmc2_1


First-principles (PBE-GGA) data for crystalline Ce3PuSe4 at its relaxed geometry, as listed in Alexandria.

Structure (POSCAR):
```
Ce3PuSe4
1.0
5.9207 0.0000 0.0000
0.0000 5.9207 0.0000
0.0000 0.0000 5.9207
Ce Pu Se
3 1 4
Direct
0.0000 0.0000 0.5000
0.0000 0.5000 0.0000
0.5000 0.0000 0.0000
0.5000 0.5000 0.5000
0.0000 0.0000 0.0000
0.0000 0.5000 0.5000
0.5000 0.0000 0.5000
0.5000 0.5000 0.0000
```

## Properties
Formation energy without anion corrections: -1.74 eV per atom
Symmetry: Pm-3m


First-principles (PBE-GGA) data for crystalline KTlS2 at its relaxed geometry, as listed in Alexandria.

Structure (POSCAR):
```
KTlS2
1.0
5.7022 -5.6693 0.0000
5.7022 5.6693 0.0000
-2.7825 0.0000 15.1219
K Tl S
8 8 16
Direct
0.1553 0.8120 0.6144
0.1880 0.8447 0.8856
0.2544 0.3415 0.8793
0.3415 0.2544 0.3793
0.6585 0.7456 0.6207
0.7456 0.6585 0.1207
0.8120 0.1553 0.1144
0.8447 0.1880 0.3856
0.0841 0.7129 0.3476
0.2871 0.9159 0.1524
0.2895 0.4195 0.1537
0.4195 0.2895 0.6537
0.5805 0.7105 0.3463
0.7105 0.5805 0.8463
0.7129 0.0841 0.8476
0.9159 0.2871 0.6524
0.0430 0.4331 0.2460
0.0511 0.9489 0.2500
0.1435 0.2257 0.5504
0.2257 0.1435 0.0504
0.3078 0.6420 0.0503
0.3580 0.6922 0.4497
0.4220 0.5780 0.7500
0.4331 0.0430 0.7460
0.5669 0.9570 0.2540
0.5780 0.4220 0.2500
0.6420 0.3078 0.5503
0.6922 0.3580 0.9497
0.7743 0.8565 0.9496
0.8565 0.7743 0.4496
0.9489 0.0511 0.7500
0.9570 0.5669 0.7540
```

## Properties
Formation energy without anion corrections: -0.63 eV per atom
Symmetry: C2/c


First-principles (PBE-GGA) data for crystalline Cs2CeInBr6 at its relaxed geometry, as listed in Alexandria.

Structure (POSCAR):
```
Cs2CeInBr6
1.0
8.3615 0.0000 0.0000
0.0000 12.1601 0.0000
0.0000 0.0000 9.0215
Cs Ce In Br
4 2 2 12
Direct
0.2500 0.0290 0.2016
0.2500 0.4710 0.2016
0.7500 0.5290 0.7984
0.7500 0.9710 0.7984
0.2500 0.7500 0.7789
0.7500 0.2500 0.2211
0.2500 0.2500 0.7173
0.7500 0.7500 0.2827
0.0086 0.2500 0.4345
0.0090 0.7500 0.0152
0.2500 0.5104 0.7881
0.2500 0.9896 0.7881
0.4914 0.2500 0.4345
0.4910 0.7500 0.0152
0.5090 0.2500 0.9848
0.5086 0.7500 0.5655
0.7500 0.0104 0.2119
0.7500 0.4896 0.2119
0.9910 0.2500 0.9848
0.9914 0.7500 0.5655
```

## Properties
Formation energy without anion corrections: -1.60 eV per atom
Symmetry: Pmmn


First-principles (PBE-GGA) data for crystalline La4TlNi2 at its relaxed geometry, as listed in Alexandria.

Structure (POSCAR):
```
La4TlNi2
1.0
2.4874 1.4361 9.3872
-2.4874 1.4361 9.3872
0.0000 -2.8721 9.3872
La Tl Ni
4 1 2
Direct
0.1121 0.1121 0.1121
0.2953 0.2953 0.2953
0.7047 0.7047 0.7047
0.8879 0.8879 0.8879
0.5000 0.5000 0.5000
0.3981 0.3981 0.3981
0.6019 0.6019 0.6019
```

## Properties
Formation enthalpy at 0 K: -0.173 eV/atom
Symmetry: R-3m


First-principles (PBE-GGA) data for crystalline Pr3Nd2TmSe6 at its relaxed geometry, as listed in Alexandria.

Structure (POSCAR):
```
Pr3Nd2TmSe6
1.0
9.1930 -2.0918 0.0000
9.1930 2.0918 0.0000
-1.9925 0.0000 8.2626
Pr Nd Tm Se
3 2 1 6
Direct
0.0000 0.0000 0.0000
0.3283 0.3283 0.6654
0.6717 0.6717 0.3346
0.3310 0.3310 0.1633
0.6690 0.6690 0.8367
0.0000 0.0000 0.5000
0.1585 0.1585 0.5815
0.1661 0.1661 0.0816
0.4992 0.4992 0.7334
0.5008 0.5008 0.2666
0.8339 0.8339 0.9184
0.8415 0.8415 0.4185
```

## Properties
Formation energy without anion corrections: -1.81 eV per atom
Symmetry: C2/m


First-principles (PBE-GGA) data for crystalline Ce12OsPt6 at its relaxed geometry, as listed in Alexandria.

Structure (POSCAR):
```
Ce12OsPt6
1.0
6.1677 3.5609 4.1318
-6.1677 3.5609 4.1318
0.0000 -7.1218 4.1318
Ce Os Pt
12 1 6
Direct
0.0228 0.6680 0.9465
0.0535 0.9772 0.3320
0.1876 0.4224 0.5855
0.3320 0.0535 0.9772
0.4145 0.8124 0.5776
0.4224 0.5855 0.1876
0.5776 0.4145 0.8124
0.5855 0.1876 0.4224
0.6680 0.9465 0.0228
0.8124 0.5776 0.4145
0.9465 0.0228 0.6680
0.9772 0.3320 0.0535
0.0000 0.0000 0.0000
0.1276 0.6286 0.3178
0.3178 0.1276 0.6286
0.3714 0.6822 0.8724
0.6286 0.3178 0.1276
0.6822 0.8724 0.3714
0.8724 0.3714 0.6822
```

## Properties
Formation enthalpy at 0 K: -0.597 eV/atom
Symmetry: R-3


First-principles (PBE-GGA) data for crystalline Eu2MgS4 at its relaxed geometry, as listed in Alexandria.

Structure (POSCAR):
```
Eu2MgS4
1.0
13.8463 0.0000 0.0000
0.0000 8.2066 0.0000
0.0000 0.0000 6.6650
Eu Mg S
8 4 16
Direct
0.0000 0.0000 0.0000
0.0000 0.5000 0.0000
0.2284 0.2500 0.4900
0.2716 0.7500 0.9900
0.5000 0.0000 0.5000
0.5000 0.5000 0.5000
0.7284 0.2500 0.0100
0.7716 0.7500 0.5100
0.0993 0.7500 0.4201
0.4007 0.2500 0.9201
0.5993 0.7500 0.0799
0.9007 0.2500 0.5799
0.0623 0.2500 0.7404
0.0908 0.7500 0.7827
0.1710 0.5170 0.2390
0.1710 0.9830 0.2390
0.3290 0.0170 0.7390
0.3290 0.4830 0.7390
0.4092 0.2500 0.2827
0.4377 0.7500 0.2404
0.5623 0.2500 0.7596
0.5908 0.7500 0.7173
0.6710 0.5170 0.2610
0.6710 0.9830 0.2610
0.8290 0.0170 0.7610
0.8290 0.4830 0.7610
0.9092 0.2500 0.2173
0.9377 0.7500 0.2596
```

## Properties
Formation energy without anion corrections: -1.48 eV per atom
Symmetry: Pnma


First-principles (PBE-GGA) data for crystalline Y2BiTe2 at its relaxed geometry, as listed in Alexandria.

Structure (POSCAR):
```
Y2BiTe2
1.0
8.6343 0.0000 0.0000
0.0000 8.6343 0.0000
0.0000 0.0000 3.9355
Y Bi Te
4 2 4
Direct
0.1570 0.3430 0.0000
0.3430 0.8430 0.0000
0.6570 0.1570 0.0000
0.8430 0.6570 0.0000
0.0000 0.0000 0.0000
0.5000 0.5000 0.0000
0.1397 0.6397 0.5000
0.3603 0.1397 0.5000
0.6397 0.8603 0.5000
0.8603 0.3603 0.5000
```

## Properties
Formation energy without anion corrections: -1.05 eV per atom
Symmetry: P4/mbm


First-principles (PBE-GGA) data for crystalline TbThGa2 at its relaxed geometry, as listed in Alexandria.

Structure (POSCAR):
```
TbThGa2
1.0
3.7309 0.0000 0.0000
-1.8654 3.2310 0.0000
0.0000 0.0000 26.2905
Tb Th Ga
3 3 6
Direct
0.0000 0.0000 0.0000
0.3333 0.6667 0.6667
0.6667 0.3333 0.3333
0.0000 0.0000 0.5000
0.3333 0.6667 0.1667
0.6667 0.3333 0.8333
0.0000 0.0000 0.2530
0.0000 0.0000 0.7470
0.3333 0.6667 0.4137
0.3333 0.6667 0.9196
0.6667 0.3333 0.0804
0.6667 0.3333 0.5863
```

## Properties
Formation enthalpy at 0 K: -0.327 eV/atom
Symmetry: R-3m


First-principles (PBE-GGA) data for crystalline NaZnN2 at its relaxed geometry, as listed in Alexandria.

Structure (POSCAR):
```
NaZnN2
1.0
3.1967 0.0000 0.0000
-1.5984 2.7685 0.0000
0.0000 0.0000 19.1669
Na Zn N
3 3 6
Direct
0.0000 0.0000 0.0000
0.3333 0.6667 0.6667
0.6667 0.3333 0.3333
0.0000 0.0000 0.5000
0.3333 0.6667 0.1667
0.6667 0.3333 0.8333
0.0000 0.0000 0.1167
0.0000 0.0000 0.8833
0.3333 0.6667 0.5499
0.3333 0.6667 0.7834
0.6667 0.3333 0.2166
0.6667 0.3333 0.4501
```

## Properties
Formation energy without anion corrections: 1.14 eV per atom
Symmetry: R-3m


First-principles (PBE-GGA) data for crystalline Sm3PuGe3 at its relaxed geometry, as listed in Alexandria.

Structure (POSCAR):
```
Sm3PuGe3
1.0
9.0091 0.0000 0.0000
-4.5045 7.8021 0.0000
0.0000 0.0000 5.8830
Sm Pu Ge
6 2 6
Direct
0.0184 0.6909 0.2500
0.3091 0.3275 0.2500
0.3275 0.0184 0.7500
0.6725 0.9816 0.2500
0.6909 0.6725 0.7500
0.9816 0.3091 0.7500
0.3333 0.6667 0.7500
0.6667 0.3333 0.2500
0.0021 0.6540 0.7500
0.3460 0.3481 0.7500
0.3481 0.0021 0.2500
0.6519 0.9979 0.7500
0.6540 0.6519 0.2500
0.9979 0.3460 0.2500
```

## Properties
Formation enthalpy at 0 K: -0.476 eV/atom
Symmetry: P6_3/m


We obtain total magnetization values of 0.00 3.00 0.00 1.00 0.00 0.00 11.29 0.19 0.00 0.00 1.34 5.08 μB per formula unit for the records listed above, in that order.